# 1
Computed, not measured: an optimized crystal structure of Ca4ZrPb at the PBE-GGA level of DFT. Values from VASP.

```
&SYSTEM
  ibrav = 0, nat = 6, ntyp = 3
/
ATOMIC_SPECIES
Ca 40.08 Ca.upf
Zr 91.22 Zr.upf
Pb 207.20 Pb.upf
CELL_PARAMETERS angstrom
0.000 4.664 4.664
4.664 0.000 4.664
4.664 4.664 0.000
ATOMIC_POSITIONS angstrom
Ca 3.504 3.504 3.504
Ca 5.824 5.824 3.504
Ca 5.824 3.504 5.824
Ca 3.504 5.824 5.824
Zr 6.996 6.996 6.996
Pb 0.000 0.000 0.000
```

space-group type: F-43m, No. 216
uncorrected energy: -2.94 eV per atom
DOS(E_F): 4.1 states/eV per cell



# 2
Computed, not measured: an optimized crystal structure of CaZrPb2 at the PBE-GGA level of DFT. Values from VASP.

```
&SYSTEM
  ibrav = 0, nat = 4, ntyp = 3
/
ATOMIC_SPECIES
Ca 40.08 Ca.upf
Zr 91.22 Zr.upf
Pb 207.20 Pb.upf
CELL_PARAMETERS angstrom
0.000 3.869 3.869
3.869 0.000 3.869
3.869 3.869 0.000
ATOMIC_POSITIONS angstrom
Ca 0.000 0.000 0.000
Zr 1.934 1.934 1.934
Pb 3.869 3.869 3.869
Pb 5.803 5.803 5.803
```

space-group type: F-43m, No. 216
uncorrected energy: -4.26 eV per atom
DOS(E_F): 4.7 states/eV per cell



# 3
Computed, not measured: an optimized crystal structure of CaZrPb2 at the PBE-GGA level of DFT. Values from VASP.

```
&SYSTEM
  ibrav = 0, nat = 4, ntyp = 3
/
ATOMIC_SPECIES
Ca 40.08 Ca.upf
Zr 91.22 Zr.upf
Pb 207.20 Pb.upf
CELL_PARAMETERS angstrom
-2.223 2.223 5.375
2.223 -2.223 5.375
2.223 2.223 -5.375
ATOMIC_POSITIONS angstrom
Ca 0.000 0.000 0.000
Zr 0.000 2.223 2.688
Pb 2.223 0.000 2.688
Pb 0.000 0.000 5.375
```

space-group type: I-4m2, No. 119
uncorrected energy: -4.71 eV per atom
DOS(E_F): 1.3 states/eV per cell



# 4
Computed, not measured: an optimized crystal structure of CaZrPb2 at the PBE-GGA level of DFT. Values from VASP.

```
&SYSTEM
  ibrav = 0, nat = 4, ntyp = 3
/
ATOMIC_SPECIES
Ca 40.08 Ca.upf
Zr 91.22 Zr.upf
Pb 207.20 Pb.upf
CELL_PARAMETERS angstrom
4.257 0.000 0.000
0.000 4.827 0.000
0.000 0.000 5.233
ATOMIC_POSITIONS angstrom
Ca 0.000 0.000 0.000
Zr 0.000 2.413 2.617
Pb 2.129 0.000 2.617
Pb 2.129 2.413 0.000
```

space-group type: Pmmm, No. 47
uncorrected energy: -4.63 eV per atom
DOS(E_F): 3.8 states/eV per cell



# 5
Computed, not measured: an optimized crystal structure of CaZrPb2 at the PBE-GGA level of DFT. Values from VASP.

```
&SYSTEM
  ibrav = 0, nat = 4, ntyp = 3
/
ATOMIC_SPECIES
Ca 40.08 Ca.upf
Zr 91.22 Zr.upf
Pb 207.20 Pb.upf
CELL_PARAMETERS angstrom
3.410 0.000 0.000
0.000 3.410 0.000
0.000 0.000 9.075
ATOMIC_POSITIONS angstrom
Ca 0.000 0.000 0.000
Zr 0.000 0.000 4.537
Pb 1.705 1.705 2.381
Pb 1.705 1.705 6.694
```

space-group type: P4/mmm, No. 123
uncorrected energy: -4.78 eV per atom
DOS(E_F): 1.7 states/eV per cell



# 6
Computed, not measured: an optimized crystal structure of CaZrPb2 at the PBE-GGA level of DFT. Values from VASP.

```
&SYSTEM
  ibrav = 0, nat = 4, ntyp = 3
/
ATOMIC_SPECIES
Ca 40.08 Ca.upf
Zr 91.22 Zr.upf
Pb 207.20 Pb.upf
CELL_PARAMETERS angstrom
1.798 1.038 9.853
-1.798 1.038 9.853
0.000 -2.076 9.853
ATOMIC_POSITIONS angstrom
Ca 0.000 0.000 0.000
Zr 0.000 0.000 14.780
Pb 0.000 0.000 7.283
Pb 0.000 0.000 22.277
```

space-group type: R-3m, No. 166
uncorrected energy: -4.70 eV per atom
DOS(E_F): 1.9 states/eV per cell



# 7
Computed, not measured: an optimized crystal structure of Ca4Pd at the PBE-GGA level of DFT. Values from VASP.

```
&SYSTEM
  ibrav = 0, nat = 5, ntyp = 2
/
ATOMIC_SPECIES
Ca 40.08 Ca.upf
Pd 106.42 Pd.upf
CELL_PARAMETERS angstrom
5.687 0.000 0.000
0.000 5.687 0.000
0.000 0.000 5.687
ATOMIC_POSITIONS angstrom
Ca 0.000 0.000 0.000
Ca 0.000 2.843 2.843
Ca 2.843 0.000 2.843
Ca 2.843 2.843 0.000
Pd 2.843 2.843 2.843
```

space-group type: Pm-3m, No. 221
uncorrected energy: -2.94 eV per atom
DOS(E_F): 4.0 states/eV per cell



# 8
Computed, not measured: an optimized crystal structure of CaPd6 at the PBE-GGA level of DFT. Values from VASP.

```
&SYSTEM
  ibrav = 0, nat = 7, ntyp = 2
/
ATOMIC_SPECIES
Ca 40.08 Ca.upf
Pd 106.42 Pd.upf
CELL_PARAMETERS angstrom
6.055 0.000 0.000
0.000 6.055 0.000
0.000 0.000 6.055
ATOMIC_POSITIONS angstrom
Ca 0.000 0.000 0.000
Pd 1.189 3.027 3.027
Pd 3.027 1.189 3.027
Pd 3.027 3.027 1.189
Pd 3.027 3.027 4.866
Pd 3.027 4.866 3.027
Pd 4.866 3.027 3.027
```

space-group type: Pm-3m, No. 221
uncorrected energy: -3.92 eV per atom
DOS(E_F): 9.1 states/eV per cell



# 9
Computed, not measured: an optimized crystal structure of Ca5Pd6 at the PBE-GGA level of DFT. Values from VASP.

```
&SYSTEM
  ibrav = 0, nat = 11, ntyp = 2
/
ATOMIC_SPECIES
Ca 40.08 Ca.upf
Pd 106.42 Pd.upf
CELL_PARAMETERS angstrom
-2.260 3.928 6.925
2.260 -3.928 6.925
2.260 3.928 -6.925
ATOMIC_POSITIONS angstrom
Ca 0.000 0.000 0.000
Ca 2.260 0.000 2.465
Ca 0.000 0.000 5.053
Ca 0.000 0.000 8.797
Ca 0.000 3.928 4.461
Pd 2.260 -2.039 4.576
Pd 2.260 1.752 0.000
Pd 0.000 1.889 2.349
Pd 2.260 2.039 4.576
Pd 0.000 2.176 6.925
Pd 0.000 5.967 2.349
```

space-group type: Immm, No. 71
uncorrected energy: -4.27 eV per atom
DOS(E_F): 3.9 states/eV per cell



# 10
Computed, not measured: an optimized crystal structure of Ca3Pd at the PBE-GGA level of DFT. Values from VASP.

```
&SYSTEM
  ibrav = 0, nat = 4, ntyp = 2
/
ATOMIC_SPECIES
Ca 40.08 Ca.upf
Pd 106.42 Pd.upf
CELL_PARAMETERS angstrom
-1.973 5.084 3.283
1.973 -5.084 3.283
1.973 5.084 -3.283
ATOMIC_POSITIONS angstrom
Ca 0.000 0.000 0.000
Ca 1.973 3.205 -0.013
Ca 0.000 1.879 3.271
Pd 0.000 5.084 1.207
```

space-group type: Imm2, No. 44
uncorrected energy: -3.14 eV per atom
DOS(E_F): 2.7 states/eV per cell



# 11
Computed, not measured: an optimized crystal structure of CaPd2 at the PBE-GGA level of DFT. Values from VASP.

```
&SYSTEM
  ibrav = 0, nat = 3, ntyp = 2
/
ATOMIC_SPECIES
Ca 40.08 Ca.upf
Pd 106.42 Pd.upf
CELL_PARAMETERS angstrom
2.492 -2.490 0.000
2.492 2.490 0.000
-2.470 0.000 4.705
ATOMIC_POSITIONS angstrom
Ca 0.000 0.000 0.000
Pd 0.016 0.000 3.021
Pd 2.499 0.000 1.683
```

space-group type: C2/m, No. 12
uncorrected energy: -4.58 eV per atom
DOS(E_F): 0.9 states/eV per cell



# 12
Computed, not measured: an optimized crystal structure of Ca5Pd3 at the PBE-GGA level of DFT. Values from VASP.

```
&SYSTEM
  ibrav = 0, nat = 32, ntyp = 2
/
ATOMIC_SPECIES
Ca 40.08 Ca.upf
Pd 106.42 Pd.upf
CELL_PARAMETERS angstrom
11.312 0.000 0.000
0.000 11.312 0.000
0.000 0.000 6.658
ATOMIC_POSITIONS angstrom
Ca 0.481 1.839 0.828
Ca 0.481 3.817 4.157
Ca 1.839 0.481 4.157
Ca 1.839 5.175 0.828
Ca 2.828 8.484 0.000
Ca 2.828 8.484 3.329
Ca 3.817 0.481 0.828
Ca 3.817 5.175 4.157
Ca 5.175 1.839 4.157
Ca 5.175 3.817 0.828
Ca 6.137 7.494 5.830
Ca 6.137 9.473 2.501
Ca 7.494 6.137 2.501
Ca 7.494 10.831 5.830
Ca 8.484 2.828 0.000
Ca 8.484 2.828 3.329
Ca 9.473 6.137 5.830
Ca 9.473 10.831 2.501
Ca 10.831 7.494 2.501
Ca 10.831 9.473 5.830
Pd 1.089 6.745 4.993
Pd 1.089 10.222 1.664
Pd 2.828 2.828 2.493
Pd 2.828 2.828 5.821
Pd 4.566 6.745 1.664
Pd 4.566 10.222 4.993
Pd 6.745 1.089 1.664
Pd 6.745 4.566 4.993
Pd 8.484 8.484 0.836
Pd 8.484 8.484 4.165
Pd 10.222 1.089 4.993
Pd 10.222 4.566 1.664
```

space-group type: P4/ncc, No. 130
uncorrected energy: -3.78 eV per atom
DOS(E_F): 21.9 states/eV per cell